# GGA-PBE RbCd5Hg2, relaxed
data_RbCd5Hg2
_space_group_name_H-M_alt 'P 1'
_space_group_IT_number 1
_space_group_name_Hall 'P 1'
_cell_length_a 4.674
_cell_length_b 8.416
_cell_length_c 11.448
_cell_angle_alpha 90.00
_cell_angle_beta 90.00
_cell_angle_gamma 90.00
loop_
_atom_site_label
_atom_site_type_symbol
_atom_site_fract_x
_atom_site_fract_y
_atom_site_fract_z
Rb1 Rb 0.000 0.000 0.000
Rb2 Rb 0.500 0.500 0.500
Cd1 Cd 0.000 0.183 0.362
Cd2 Cd 0.000 0.183 0.638
Cd3 Cd 0.000 0.500 0.000
Cd4 Cd 0.000 0.817 0.362
Cd5 Cd 0.000 0.817 0.638
Cd6 Cd 0.500 0.000 0.500
Cd7 Cd 0.500 0.317 0.138
Cd8 Cd 0.500 0.317 0.862
Cd9 Cd 0.500 0.683 0.138
Cd10 Cd 0.500 0.683 0.862
Hg1 Hg 0.000 0.500 0.261
Hg2 Hg 0.000 0.500 0.739
Hg3 Hg 0.500 0.000 0.239
Hg4 Hg 0.500 0.000 0.761
# Energy: -0.833 eV per atom
# DFT formation energy: -0.065 eV/atom
# DOS(E_F): 0.55 states/eV per atom